# Ce5Mg

A relaxed structure of Ce5Mg (PBEsol, Alexandria).

Cell lengths 5.6057, 5.6057, 5.3155 Å; angles 90.00, 90.00, 120.00 degrees
Last column: nearest neighbours and their distance in Å.
Element x y z (fractional)
Ce1 0.0000 0.3573 0.0000  10 Ce 3.13-3.47, 2 Mg 3.33
Ce2 0.3333 0.6667 0.5000  9 Ce 3.21-3.24, 3 Mg 3.24
Ce3 0.3573 0.0000 0.0000  10 Ce 3.13-3.47, 2 Mg 3.33
Ce4 0.6427 0.6427 0.0000  10 Ce 3.13-3.47, 2 Mg 3.33
Ce5 0.6667 0.3333 0.5000  9 Ce 3.21-3.24, 3 Mg 3.24
Mg1 0.0000 0.0000 0.5000  12 Ce 3.24-3.33

Results
- Formation enthalpy at 0 K: 0.123 eV/atom
- Total moment: 0.00 μB per cell
- V: 24.11 Å³ per atom
- N(E_F): 2.7023 states/eV per atom
- Raw total energy: -5.66 eV/atom

***

# Ce2Mg

A relaxed structure of Ce2Mg (PBEsol, Alexandria).

Cell lengths 3.0806, 3.0806, 17.0756 Å; angles 90.00, 90.00, 120.00 degrees
Last column: nearest neighbours and their distance in Å.
Element x y z (fractional)
Ce1 0.3333 0.6667 0.2523  9 Ce 3.08-3.39, 3 Mg 3.41
Ce2 0.3333 0.6667 0.9167  12 Ce 3.08-3.39
Ce3 0.6667 0.3333 0.0833  12 Ce 3.08-3.39
Ce4 0.6667 0.3333 0.7477  9 Ce 3.08-3.39, 3 Mg 3.41
Mg1 0.3333 0.6667 0.5772  9 Mg 3.08-3.18, 3 Ce 3.41
Mg2 0.6667 0.3333 0.4228  9 Mg 3.08-3.18, 3 Ce 3.41

Results
- Formation enthalpy at 0 K: 0.056 eV/atom
- Total moment: 0.00 μB per cell
- V: 23.39 Å³ per atom
- N(E_F): 1.9705 states/eV per atom
- Raw total energy: -4.91 eV/atom

***

# CeMg2

A relaxed structure of CeMg2 (PBEsol, Alexandria).

Cell lengths 5.5917, 8.4465, 8.4465 Å; angles 21.48, 90.00, 90.00 degrees
Last column: nearest neighbours and their distance in Å.
Element x y z (fractional)
Ce1 0.0000 0.0000 0.0000  2 Ce 2.77
Ce2 0.0000 0.3624 0.3624  2 Ce 2.77
Mg1 0.0000 0.6806 0.6806  8 Mg 3.15-3.35, 4 Ce 3.39-3.40
Mg2 0.5000 0.2361 0.2361  10 Mg 3.15-3.34, 2 Ce 3.49
Mg3 0.5000 0.5692 0.5692  8 Mg 3.15-3.35, 4 Ce 3.41
Mg4 0.5000 0.9037 0.9037  6 Mg 3.15-3.20, 6 Ce 3.22-3.28

Results
- Formation enthalpy at 0 K: 0.058 eV/atom
- Total moment: 0.05 μB per cell
- V: 24.34 Å³ per atom
- N(E_F): 1.3269 states/eV per atom
- Raw total energy: -3.28 eV/atom